Below is CoPbSe2O6 after structural relaxation, with properties calculated at the GGA+U level.

Unit cell a=5.4313 b=5.4313 c=17.4239 alpha=90.00 beta=90.00 gamma=120.00
Last column: nearest neighbours and their distance in Å.
Space group R-3 (No. 148, hexagonal axes)
Unique sites:
Co: 0.0000 0.0000 0.0000  6 O 2.16
Pb: 0.0000 0.0000 0.5000  6 O 2.66
Se: 0.0000 0.0000 0.2274  3 O 1.74
O: 0.0199 0.6336 0.4023  1 Se 1.74

## Properties
Calculated total energy, eV per cell: -161.58
Total magnetization, Bohr magnetons per cell: 8.958
Fermi-level density of states, states/eV/cell: 0.00